{"formula": "Sm2CuAs4Pd3", "functional": "PBE", "state": "relaxed", "cell": [[4.171, 0.000, 0.000], [0.000, 4.171, 0.000], [0.000, 0.000, 10.973]], "species": ["Pd", "Pd", "Pd", "As", "As", "As", "As", "Sm", "Sm", "Cu"], "frac_coords": [[0.000, 0.500, 0.142], [0.500, 0.000, 0.858], [0.000, 0.000, 0.500], [0.000, 0.500, 0.367], [0.500, 0.500, 0.000], [0.500, 0.000, 0.633], [0.000, 0.000, 0.000], [0.500, 0.000, 0.267], [0.000, 0.500, 0.733], [0.500, 0.500, 0.500]], "e_form_ev_per_atom": -0.78, "density_g_cm3": 8.6, "space_group": "P-4m2", "total_magnetization_mub_per_atom": 0.0000}